Here is a geometry-optimized Ac3CdGe3 structure from the Alexandria database. Energies are from PBE-GGA.

The crystal system is monoclinic. The polymorph energy (0 for the lowest one) is 0.000 eV/f.u. The calculation puts the magnetic moment at 0.0 μB/f.u. For the final energy, the calculation gives -4.484 eV/atom.

The space group is C2/m (No. 12) and the conventional cell measures 12.0607, 4.7051 and 15.0820 Å, with angles of 90.00, 108.73 and 90.00 degrees. Symmetry generates all atoms from Ac at (0.0211, 0.0000, 0.3776), Ac at (0.1036, 0.0000, 0.9222), Ac at (0.2401, 0.0000, 0.2232), Cd at (0.2330, 0.5000, 0.3992), Ge at (0.0269, 0.5000, 0.2246), Ge at (0.1079, 0.5000, 0.0759) and Ge at (0.1336, 0.5000, 0.5498).

=====

Here is a geometry-optimized MnTl2N structure from the Alexandria database. Energies are from PBE-GGA.

The crystal system is tetragonal. The polymorph energy (0 for the lowest one) is 0.000 eV/f.u. The calculation puts the magnetic moment at 4.0 μB/f.u. For the final energy, the calculation gives -4.621 eV/atom.

The space group is I-42d (No. 122) and the conventional cell measures 6.8152, 6.8152 and 6.9953 Å, with angles of 90.00, 90.00 and 90.00 degrees. Symmetry generates all atoms from Mn at (0.0000, 0.0000, 0.0000), Tl at (0.1955, 0.7500, 0.6250) and N at (0.0000, 0.0000, 0.5000).

=====

Here is a geometry-optimized Sm12Ir3N5 structure from the Alexandria database. Energies are from PBE-GGA.

The crystal system is cubic. The calculation puts the magnetic moment at 0.0 μB/f.u. For the final energy, the calculation gives -7.111 eV/atom.

The space group is Ia-3d (No. 230) and the conventional cell measures 15.5424, 15.5424 and 15.5424 Å, with angles of 90.00, 90.00 and 90.00 degrees. Symmetry generates all atoms from Sm at (0.0302, 0.0551, 0.6509), Ir at (0.0000, 0.2500, 0.1250), N at (0.0000, 0.0000, 0.0000) and N at (0.0000, 0.2500, 0.3750).

=====

Here is a geometry-optimized Zn2InSe structure from the Alexandria database. Energies are from PBE-GGA.

The crystal system is tetragonal. The polymorph energy (0 for the lowest one) is 0.198 eV/f.u. The calculation puts the magnetic moment at 0.0 μB/f.u. For the final energy, the calculation gives -2.264 eV/atom.

The space group is I-42d (No. 122) and the conventional cell measures 6.5358, 6.5358 and 9.8711 Å, with angles of 90.00, 90.00 and 90.00 degrees. Symmetry generates all atoms from Zn at (0.2201, 0.2500, 0.1250), In at (0.0000, 0.0000, 0.5000) and Se at (0.0000, 0.0000, 0.0000).

=====

Here is a geometry-optimized Mn2Tc structure from the Alexandria database. Energies are from PBE-GGA.

The crystal system is hexagonal. The polymorph energy (0 for the lowest one) is 1.523 eV/f.u. The calculation puts the magnetic moment at 3.4 μB/f.u. For the final energy, the calculation gives -9.143 eV/atom.

The space group is P-62m (No. 189) and the conventional cell measures 5.8786, 5.8786 and 4.1860 Å, with angles of 90.00, 90.00 and 120.00 degrees. Symmetry generates all atoms from Mn at (0.0000, 0.2403, 0.0000), Mn at (0.0000, 0.5523, 0.5000), Tc at (0.0000, 0.0000, 0.5000) and Tc at (0.3333, 0.6667, 0.0000).

=====

Here is a geometry-optimized La5ZnIn2 structure from the Alexandria database. Energies are from PBE-GGA.

The crystal system is tetragonal. The calculation puts the magnetic moment at 0.0 μB/f.u. For the final energy, the calculation gives -4.168 eV/atom.

The space group is I4/mmm (No. 139) and the conventional cell measures 5.8439, 5.8439 and 14.4478 Å, with angles of 90.00, 90.00 and 90.00 degrees. Symmetry generates all atoms from La at (0.0000, 0.0000, 0.0000), La at (0.0000, 0.5000, 0.1276), Zn at (0.0000, 0.0000, 0.5000) and In at (0.0000, 0.0000, 0.2478).

=====

Here is a geometry-optimized K2ScGe2 structure from the Alexandria database. Energies are from PBE-GGA.

The crystal system is tetragonal. The calculation puts the magnetic moment at 0.0 μB/f.u. For the final energy, the calculation gives -3.529 eV/atom.

The space group is P4/mbm (No. 127) and the conventional cell measures 7.2553, 7.2553 and 5.7432 Å, with angles of 90.00, 90.00 and 90.00 degrees. Symmetry generates all atoms from K at (0.1729, 0.3271, 0.0000), Sc at (0.0000, 0.0000, 0.5000) and Ge at (0.1213, 0.6213, 0.5000).

=====

Here is a geometry-optimized Al2HgMo2 structure from the Alexandria database. Energies are from PBE-GGA.

The crystal system is tetragonal. The calculation puts the magnetic moment at 0.0 μB/f.u. For the final energy, the calculation gives -5.675 eV/atom.

The space group is P4/mbm (No. 127) and the conventional cell measures 6.8820, 6.8820 and 3.4536 Å, with angles of 90.00, 90.00 and 90.00 degrees. Symmetry generates all atoms from Al at (0.1278, 0.3722, 0.0000), Hg at (0.0000, 0.0000, 0.0000) and Mo at (0.1696, 0.6696, 0.5000).